# AlTcPb2

An optimized crystal structure of AlTcPb2 (PBE, the Alexandria database).

It has space group P4/mmm (No. 123), with a = 3.313 Å, b = 3.313 Å, c = 8.255 Å, α = 90.00°, β = 90.00° and γ = 90.00°. Symmetry generates all atoms from Al at (0.000, 0.000, 0.000), Tc at (0.000, 0.000, 0.500) and Pb at (0.500, 0.500, 0.289).

As for the formation energy: 0.56 eV per atom.